(1)
DFT (PBE-GGA) results for MgRh3C after structural relaxation.

Cell lengths 4.7663, 5.6982, 5.0778 Å; angles 90.00, 92.80, 90.00 degrees
Closest atoms and distances in Å follow each position.
Fractional positions:
1 Mg 0.2433 0.2500 0.1540  1 C 2.48
2 Mg 0.7567 0.7500 0.8460  1 C 2.48
3 Rh 0.2484 0.0071 0.6602  2 C 2.02-2.03
4 Rh 0.2484 0.4929 0.6602  2 C 2.02-2.03
5 Rh 0.2696 0.7500 0.1522  1 C 1.91
6 Rh 0.7304 0.2500 0.8478  1 C 1.91
7 Rh 0.7516 0.5071 0.3398  2 C 2.02-2.03
8 Rh 0.7516 0.9929 0.3398  2 C 2.02-2.03
9 C 0.0437 0.7500 0.4520  5 Rh 1.91-2.03
10 C 0.9563 0.2500 0.5480  5 Rh 1.91-2.03

Results
ΔH_f (0 K), eV per atom: -0.0749

(2)
DFT (PBE-GGA) results for Ho7ErTm12 after structural relaxation.

Cell lengths 8.5470, 8.5470, 8.5470 Å; angles 95.09, 95.09, 95.09 degrees
Closest atoms and distances in Å follow each position.
Fractional positions:
1 Ho 0.0000 0.0000 0.0000  6 Tm 3.00
2 Ho 0.1464 0.4146 0.4773  1 Er 3.03, 2 Tm 3.03-3.30, 1 Ho 3.04
3 Ho 0.4146 0.4773 0.1464  1 Er 3.03, 2 Tm 3.03-3.30, 1 Ho 3.04
4 Ho 0.4773 0.1464 0.4146  1 Er 3.03, 2 Tm 3.03-3.30, 1 Ho 3.04
5 Ho 0.5227 0.8536 0.5854  1 Er 3.03, 2 Tm 3.03-3.30, 1 Ho 3.04
6 Ho 0.5854 0.5227 0.8536  1 Er 3.03, 2 Tm 3.03-3.30, 1 Ho 3.04
7 Ho 0.8536 0.5854 0.5227  1 Er 3.03, 2 Tm 3.03-3.30, 1 Ho 3.04
8 Er 0.5000 0.5000 0.5000  6 Ho 3.03
9 Tm 0.0169 0.0813 0.3508  2 Ho 3.00-3.03, 2 Tm 3.03-3.30
10 Tm 0.0813 0.3508 0.0169  2 Ho 3.00-3.03, 2 Tm 3.03-3.30
11 Tm 0.1877 0.7507 0.3154  3 Tm 3.30-3.49, 3 Ho 3.30-3.51
12 Tm 0.2493 0.6846 0.8123  3 Tm 3.30-3.49, 3 Ho 3.30-3.51
13 Tm 0.3154 0.1877 0.7507  3 Tm 3.30-3.49, 3 Ho 3.30-3.51
14 Tm 0.3508 0.0169 0.0813  2 Ho 3.00-3.03, 2 Tm 3.03-3.30
15 Tm 0.6492 0.9831 0.9187  2 Ho 3.00-3.03, 2 Tm 3.03-3.30
16 Tm 0.6846 0.8123 0.2493  3 Tm 3.30-3.49, 3 Ho 3.30-3.51
17 Tm 0.7507 0.3154 0.1877  3 Tm 3.30-3.49, 3 Ho 3.30-3.51
18 Tm 0.8123 0.2493 0.6846  3 Tm 3.30-3.49, 3 Ho 3.30-3.51
19 Tm 0.9187 0.6492 0.9831  2 Ho 3.00-3.03, 2 Tm 3.03-3.30
20 Tm 0.9831 0.9187 0.6492  2 Ho 3.00-3.03, 2 Tm 3.03-3.30

Results
Polymorph energy (0 for the lowest one), meV per atom: 0
ΔH_f (0 K), eV per atom: 0.3146

The highest ΔH_f (0 K) belongs to which entry?
Ho7ErTm12

What is the ΔH_f (0 K) in the first record?
-0.0749 eV per atom

The lowest ΔH_f (0 K) belongs to which entry?
MgRh3C